! HoFe2 (PBEsol, optimized geometry); values from VASP
! formation energy: -81 meV/atom
! D(E_F): 13.771 states/eV/cell
! total moment: 2.8 μB per formula unit
! symmetry: P6_3/mmc
! crystal system: hexagonal
&SYSTEM
  ibrav = 0, nat = 12, ntyp = 2
/
ATOMIC_SPECIES
Fe 55.84 Fe.upf
Ho 164.93 Ho.upf
CELL_PARAMETERS angstrom
-1.5825 4.6503 0.9731
-2.8359 -3.0884 -2.7379
-3.6383 -2.6529 6.7609
ATOMIC_POSITIONS crystal
Fe 0.0000 0.0000 0.0000
Fe 0.3303 0.1651 0.2500
Ho 0.6667 0.3333 0.5620
Fe 0.1651 0.3303 0.7500
Fe 0.8349 0.1651 0.2500
Fe 0.6697 0.8349 0.7500
Ho 0.3333 0.6667 0.0620
Ho 0.3333 0.6667 0.4380
Ho 0.6667 0.3333 0.9380
Fe 0.0000 0.0000 0.5000
Fe 0.1651 0.8349 0.7500
Fe 0.8349 0.6697 0.2500